The following is a PBE-GGA calculation of an optimized crystal structure of UCuSb, from Alexandria via LeMat-Bulk.

The structure in POSCAR format:
```
UCuSb
1.0
-1.939 1.939 4.507
1.939 -1.939 4.507
1.939 1.939 -4.507
U Cu Sb
1 1 1
direct
0.000 0.000 0.000
0.332 0.332 0.000
0.662 0.662 0.000
```

DFT total energy   -6.29 eV per atom
Total magnetization   0.7733 μB/atom
Fermi-level density of states   1.738 states/eV per atom
Formation energy from raw total energies   0.21 eV per atom